[1]
First-principles (PBE-GGA) data for crystalline Tb4PmCd3 at its relaxed geometry, as listed in the Alexandria database.

- M_tot (μB/cell) = 0.94

a b c (Å): 9.586 9.586 9.586
angles (deg): 32.49 32.49 32.49
Fractional positions:
Tb 0.114 0.114 0.114
Tb 0.370 0.370 0.370
Tb 0.630 0.630 0.630
Tb 0.886 0.886 0.886
Pm 0.500 0.500 0.500
Cd 0.000 0.000 0.000
Cd 0.241 0.241 0.241
Cd 0.759 0.759 0.759

=====

[2]
First-principles (PBE-GGA) data for crystalline TbPm6Cd at its relaxed geometry, as listed in the Alexandria database.

- energy relative to the lowest polymorph listed for this composition (eV/atom) = 0.000
- M_tot (μB/cell) = 0.00

a b c (Å): 5.015 5.015 20.457
angles (deg): 90.00 90.00 90.00
Fractional positions:
Tb 0.000 0.000 0.000
Tb 0.500 0.500 0.500
Pm 0.000 0.000 0.248
Pm 0.000 0.000 0.752
Pm 0.000 0.500 0.121
Pm 0.000 0.500 0.379
Pm 0.000 0.500 0.621
Pm 0.000 0.500 0.879
Pm 0.500 0.000 0.121
Pm 0.500 0.000 0.379
Pm 0.500 0.000 0.621
Pm 0.500 0.000 0.879
Pm 0.500 0.500 0.252
Pm 0.500 0.500 0.748
Cd 0.000 0.000 0.500
Cd 0.500 0.500 0.000

=====

[3]
First-principles (PBE-GGA) data for crystalline Tb2Pm3Cd3 at its relaxed geometry, as listed in the Alexandria database.

- M_tot (μB/cell) = 0.00

a b c (Å): 3.784 5.478 22.472
angles (deg): 90.00 90.00 90.00
Fractional positions:
Tb 0.000 0.000 0.235
Tb 0.000 0.000 0.765
Tb 0.500 0.500 0.265
Tb 0.500 0.500 0.735
Pm 0.000 0.000 0.000
Pm 0.000 0.500 0.123
Pm 0.000 0.500 0.877
Pm 0.500 0.000 0.377
Pm 0.500 0.000 0.623
Pm 0.500 0.500 0.500
Cd 0.000 0.000 0.500
Cd 0.000 0.500 0.380
Cd 0.000 0.500 0.620
Cd 0.500 0.000 0.120
Cd 0.500 0.000 0.880
Cd 0.500 0.500 0.000

=====

[4]
First-principles (PBE-GGA) data for crystalline Tb4Pm5Cd at its relaxed geometry, as listed in the Alexandria database.

- M_tot (μB/cell) = 0.00

a b c (Å): 3.630 3.630 24.449
angles (deg): 90.00 90.00 90.00
Fractional positions:
Tb 0.000 0.000 0.103
Tb 0.000 0.000 0.310
Tb 0.000 0.000 0.690
Tb 0.000 0.000 0.897
Pm 0.500 0.500 0.000
Pm 0.500 0.500 0.207
Pm 0.500 0.500 0.413
Pm 0.500 0.500 0.587
Pm 0.500 0.500 0.793
Cd 0.000 0.000 0.500

=====

[5]
First-principles (PBE-GGA) data for crystalline Tb4PmCd at its relaxed geometry, as listed in the Alexandria database.

- energy relative to the lowest polymorph listed for this composition (eV/atom) = 0.141
- M_tot (μB/cell) = 0.00

a b c (Å): 10.843 10.843 6.534
angles (deg): 90.00 90.00 150.21
Fractional positions:
Tb 0.039 0.961 0.500
Tb 0.182 0.818 0.680
Tb 0.248 0.752 0.208
Tb 0.363 0.637 0.829
Tb 0.637 0.363 0.329
Tb 0.752 0.248 0.708
Tb 0.818 0.182 0.180
Tb 0.961 0.039 0.000
Pm 0.438 0.562 0.322
Pm 0.562 0.438 0.822
Cd 0.104 0.896 0.079
Cd 0.896 0.104 0.579

=====

[6]
First-principles (PBE-GGA) data for crystalline Tb5PmCd6 at its relaxed geometry, as listed in the Alexandria database.

- M_tot (μB/cell) = 1.45

a b c (Å): 5.314 7.588 8.406
angles (deg): 90.00 108.33 90.00
Fractional positions:
Tb 0.000 0.000 0.000
Tb 0.333 0.500 0.665
Tb 0.335 0.000 0.669
Tb 0.665 0.000 0.331
Tb 0.667 0.500 0.335
Pm 0.000 0.500 0.000
Cd 0.169 0.247 0.337
Cd 0.169 0.753 0.337
Cd 0.500 0.246 0.000
Cd 0.500 0.754 0.000
Cd 0.831 0.247 0.663
Cd 0.831 0.753 0.663

=====

| no. | calculated formation energy (eV/atom) |
| --- | --- |
| 1 | -0.165 |
| 2 | -0.032 |
| 3 | -0.238 |
| 4 | -0.049 |
| 5 | 0.050 |
| 6 | -0.318 |